# Ac2Sn3Rh

A geometry-optimized Ac2Sn3Rh structure (PBE-GGA, Alexandria via LeMat-Bulk).

The value obtained for the relative energy among the computed polymorphs is 0.000 eV/atom. Its formation energy from the elements is -0.677 eV per atom. The magnetization comes out at 0.00 μB per formula unit.

Geometry as CIF:
```
data_Ac2Sn3Rh
_chemical_formula_sum 'Ac2 Sn3 Rh1'
_symmetry_space_group_name_H-M 'P 1'
_symmetry_Int_Tables_number 1
_cell_length_a 4.5552
_cell_length_b 4.8245
_cell_length_c 8.1666
_cell_angle_alpha 90.00
_cell_angle_beta 90.00
_cell_angle_gamma 90.00
loop_
_symmetry_equiv_pos_as_xyz
'x,y,z'
loop_
_atom_site_label
_atom_site_fract_x
_atom_site_fract_y
_atom_site_fract_z
_atom_site_occupancy
Ac1 0.0000 0.5000 0.0296 1
Ac2 0.0000 0.0000 0.4913 1
Sn1 0.5000 0.0000 0.8353 1
Sn2 0.5000 0.0000 0.1853 1
Sn3 0.5000 0.5000 0.6411 1
Rh1 0.5000 0.5000 0.3174 1
```